Material: ZrSiNi
Method: DFT, PBE
State: optimized geometry

```
3
Lattice="5.448 0.796 -0.250 3.339 4.378 0.250 -4.266 -2.804 2.078" Properties=species:S:1:pos:R:3 pbc="T T T"
Zr 5.875 3.460 0.000
Si 3.178 1.872 0.000
Ni 8.521 5.018 0.000
```

Properties
calculated density	6.6	g cm⁻³
DFT total energy	-21.4	eV per cell
formation energy from raw total energies	-0.54	eV per atom